# 1
# PBE-GGA YFeTe2Pd, optimized geometry
# Energy relative to the elements, uncorrected, eV/atom: 0.1184
# Total moment, μB/atom: 0.259
# Density of states at the Fermi level, states/eV/atom: 0.86
data_YFeTe2Pd
_chemical_formula_sum 'Y1 Fe1 Te2 Pd1'
_cell_length_a 4.947
_cell_length_b 4.947
_cell_length_c 4.928
_cell_angle_alpha 90.00
_cell_angle_beta 90.00
_cell_angle_gamma 90.00
_space_group_name_H-M_alt 'P 4/m m m'
_space_group_IT_number 123
_space_group_name_Hall '-P 4 2'
loop_
_atom_site_label
_atom_site_fract_x
_atom_site_fract_y
_atom_site_fract_z
_atom_site_occupancy
Y1 0.000 0.000 0.000 1
Fe1 0.000 0.000 0.500 1
Te1 0.000 0.500 0.500 1
Pd1 0.500 0.500 0.000 1


# 2
# PBE-GGA Pr3AgN, optimized geometry
# Energy relative to the elements, uncorrected, eV/atom: -0.6128
# Total moment, μB/atom: 0.000
# Density of states at the Fermi level, states/eV/atom: 0.81
# Offset from the most stable computed form, kJ/mol of formula units: 0
data_Pr3AgN
_chemical_formula_sum 'Pr12 Ag4 N4'
_cell_length_a 3.739
_cell_length_b 13.613
_cell_length_c 9.995
_cell_angle_alpha 90.00
_cell_angle_beta 90.00
_cell_angle_gamma 90.00
_space_group_name_H-M_alt 'C m c m'
_space_group_IT_number 63
_space_group_name_Hall '-C 2c 2'
loop_
_atom_site_label
_atom_site_fract_x
_atom_site_fract_y
_atom_site_fract_z
_atom_site_occupancy
Pr1 0.000 0.055 0.250 1
Pr2 0.000 0.379 0.055 1
Ag1 0.000 0.252 0.750 1
N1 0.000 0.000 0.000 1


# 3
# PBE-GGA PmSm2Tm4, optimized geometry
# Total moment, μB/atom: 0.000
# Density of states at the Fermi level, states/eV/atom: 1.55
# Offset from the most stable computed form, kJ/mol of formula units: 58
# Formation energy, eV/atom: 0.126
data_PmSm2Tm4
_chemical_formula_sum 'Pm2 Sm4 Tm8'
_cell_length_a 6.051
_cell_length_b 6.570
_cell_length_c 11.553
_cell_angle_alpha 90.00
_cell_angle_beta 104.19
_cell_angle_gamma 90.00
_space_group_name_H-M_alt 'P 1 21/m 1'
_space_group_IT_number 11
loop_
_space_group_symop_operation_xyz
'x,y,z'
'-x,-y,-z'
'-x,y+1/2,-z'
'x,-y+1/2,z'
loop_
_atom_site_label
_atom_site_fract_x
_atom_site_fract_y
_atom_site_fract_z
_atom_site_occupancy
Pm1 0.040 0.250 0.364 1
Sm1 0.158 0.250 0.951 1
Sm2 0.398 0.750 0.514 1
Tm1 0.145 0.250 0.667 1
Tm2 0.281 0.750 0.920 1
Tm3 0.342 0.507 0.209 1


# 4
# PBE-GGA BaGd2Pt, optimized geometry
# Total moment, μB/atom: 3.596
# Density of states at the Fermi level, states/eV/atom: 1.60
# Offset from the most stable computed form, kJ/mol of formula units: 0
# Formation energy, eV/atom: -0.537
data_BaGd2Pt
_chemical_formula_sum 'Ba3 Gd6 Pt3'
_cell_length_a 4.2226
_cell_length_b 4.2226
_cell_length_c 29.3165
_cell_angle_alpha 90.00
_cell_angle_beta 90.00
_cell_angle_gamma 120.00
_space_group_name_H-M_alt 'R -3 m'
_space_group_IT_number 166
_space_group_name_Hall '-R 3 2"'
loop_
_atom_site_label
_atom_site_fract_x
_atom_site_fract_y
_atom_site_fract_z
_atom_site_occupancy
Ba1 0.0000 0.0000 0.0000 1
Gd1 0.0000 0.0000 0.2164 1
Pt1 0.0000 0.0000 0.5000 1


# 5
# PBE-GGA TaTc2Pb, optimized geometry
# Total moment, μB/atom: 0.000
# Density of states at the Fermi level, states/eV/atom: 0.67
# Formation energy, eV/atom: 0.356
data_TaTc2Pb
_chemical_formula_sum 'Ta2 Tc4 Pb2'
_cell_length_a 8.999
_cell_length_b 3.144
_cell_length_c 5.235
_cell_angle_alpha 90.00
_cell_angle_beta 103.40
_cell_angle_gamma 90.00
_space_group_name_H-M_alt 'C 1 2/m 1'
_space_group_IT_number 12
loop_
_space_group_symop_operation_xyz
'x,y,z'
'-x,-y,-z'
'-x,y,-z'
'x,-y,z'
'x+1/2,y+1/2,z'
'-x+1/2,-y+1/2,-z'
'-x+1/2,y+1/2,-z'
'x+1/2,-y+1/2,z'
loop_
_atom_site_label
_atom_site_fract_x
_atom_site_fract_y
_atom_site_fract_z
_atom_site_occupancy
Ta1 0.000 0.000 0.000 1
Tc1 0.236 0.500 0.217 1
Pb1 0.000 0.500 0.500 1


# 6
# PBE-GGA TlZnP2, optimized geometry
# Total moment, μB/atom: 0.000
# Density of states at the Fermi level, states/eV/atom: 0.71
# Offset from the most stable computed form, kJ/mol of formula units: 205
# Formation energy, eV/atom: 0.638
data_TlZnP2
_chemical_formula_sum 'Tl2 Zn2 P4'
_cell_length_a 4.496
_cell_length_b 4.496
_cell_length_c 7.679
_cell_angle_alpha 90.00
_cell_angle_beta 90.00
_cell_angle_gamma 90.00
_space_group_name_H-M_alt 'I 4/m m m'
_space_group_IT_number 139
_space_group_name_Hall '-I 4 2'
loop_
_atom_site_label
_atom_site_fract_x
_atom_site_fract_y
_atom_site_fract_z
_atom_site_occupancy
Tl1 0.000 0.000 0.000 1
Zn1 0.000 0.000 0.500 1
P1 0.000 0.500 0.250 1


# 7
# PBE-GGA OsRuI2N, optimized geometry
# Energy relative to the elements, uncorrected, eV/atom: 1.3860
# Total moment, μB/atom: 0.000
# Density of states at the Fermi level, states/eV/atom: 0.74
# Offset from the most stable computed form, kJ/mol of formula units: 136
data_OsRuI2N
_chemical_formula_sum 'Os1 Ru1 I2 N1'
_cell_length_a 5.361
_cell_length_b 5.361
_cell_length_c 3.608
_cell_angle_alpha 90.00
_cell_angle_beta 90.00
_cell_angle_gamma 90.00
_space_group_name_H-M_alt 'P 4/m m m'
_space_group_IT_number 123
_space_group_name_Hall '-P 4 2'
loop_
_atom_site_label
_atom_site_fract_x
_atom_site_fract_y
_atom_site_fract_z
_atom_site_occupancy
Os1 0.000 0.000 0.000 1
Ru1 0.500 0.500 0.500 1
I1 0.000 0.500 0.500 1
N1 0.500 0.500 0.000 1


# 8
# PBE-GGA YOsPd2, optimized geometry
# Total moment, μB/atom: 0.426
# Density of states at the Fermi level, states/eV/atom: 1.36
# Offset from the most stable computed form, kJ/mol of formula units: 0
# Formation energy, eV/atom: -0.012
data_YOsPd2
_chemical_formula_sum 'Y4 Os4 Pd8'
_cell_length_a 6.596
_cell_length_b 6.596
_cell_length_c 6.596
_cell_angle_alpha 90.00
_cell_angle_beta 90.00
_cell_angle_gamma 90.00
_space_group_name_H-M_alt 'F m -3 m'
_space_group_IT_number 225
_space_group_name_Hall '-F 4 2 3'
loop_
_atom_site_label
_atom_site_fract_x
_atom_site_fract_y
_atom_site_fract_z
_atom_site_occupancy
Y1 0.000 0.000 0.000 1
Os1 0.000 0.000 0.500 1
Pd1 0.250 0.250 0.250 1


# 9
# PBE-GGA Ac2Sn3AsRh4, optimized geometry
# Total moment, μB/atom: 0.000
# Density of states at the Fermi level, states/eV/atom: 0.56
# Formation energy, eV/atom: -0.760
data_Ac2Sn3AsRh4
_chemical_formula_sum 'Ac2 Sn3 As1 Rh4'
_cell_length_a 4.559
_cell_length_b 4.559
_cell_length_c 10.729
_cell_angle_alpha 90.00
_cell_angle_beta 90.00
_cell_angle_gamma 90.00
_space_group_name_H-M_alt 'P -4 m 2'
_space_group_IT_number 115
loop_
_space_group_symop_operation_xyz
'x,y,z'
'y,-x,-z'
'-x,-y,z'
'-y,x,-z'
'-x,y,z'
'-y,-x,-z'
'x,-y,z'
'y,x,-z'
loop_
_atom_site_label
_atom_site_fract_x
_atom_site_fract_y
_atom_site_fract_z
_atom_site_occupancy
Ac1 0.000 0.500 0.242 1
Sn1 0.000 0.000 0.000 1
Sn2 0.000 0.500 0.629 1
As1 0.500 0.500 0.000 1
Rh1 0.000 0.000 0.500 1
Rh2 0.000 0.500 0.878 1
Rh3 0.500 0.500 0.500 1


# 10
# PBE-GGA La2Pm13, optimized geometry
# Total moment, μB/atom: 0.000
# Density of states at the Fermi level, states/eV/atom: 1.50
# Offset from the most stable computed form, kJ/mol of formula units: 0
# Formation energy, eV/atom: 0.154
data_La2Pm13
_chemical_formula_sum 'La6 Pm39'
_cell_length_a 7.1961
_cell_length_b 7.1961
_cell_length_c 35.7251
_cell_angle_alpha 90.00
_cell_angle_beta 90.00
_cell_angle_gamma 120.00
_space_group_name_H-M_alt 'R -3 m'
_space_group_IT_number 166
_space_group_name_Hall '-R 3 2"'
loop_
_atom_site_label
_atom_site_fract_x
_atom_site_fract_y
_atom_site_fract_z
_atom_site_occupancy
La1 0.0000 0.0000 0.2059 1
Pm1 0.0000 0.0000 0.0000 1
Pm2 0.0010 0.5005 0.7895 1
Pm3 0.0019 0.5010 0.9557 1


# 11
# PBE-GGA LiTb2I6, optimized geometry
# Energy relative to the elements, uncorrected, eV/atom: -1.2304
# Total moment, μB/atom: 0.115
# Density of states at the Fermi level, states/eV/atom: 0.10
# Offset from the most stable computed form, kJ/mol of formula units: 40
data_LiTb2I6
_chemical_formula_sum 'Li2 Tb4 I12'
_cell_length_a 7.358
_cell_length_b 7.358
_cell_length_c 12.984
_cell_angle_alpha 90.00
_cell_angle_beta 90.00
_cell_angle_gamma 90.00
_space_group_name_H-M_alt 'P 42/m n m'
_space_group_IT_number 136
_space_group_name_Hall '-P 4n 2n'
loop_
_atom_site_label
_atom_site_fract_x
_atom_site_fract_y
_atom_site_fract_z
_atom_site_occupancy
Li1 0.000 0.000 0.000 1
Tb1 0.000 0.000 0.348 1
I1 0.200 0.200 0.167 1
I2 0.219 0.219 0.500 1


# 12
# PBE-GGA Pm3PI3, optimized geometry
# Energy relative to the elements, uncorrected, eV/atom: -1.3774
# Total moment, μB/atom: 0.000
# Density of states at the Fermi level, states/eV/atom: 0.50
data_Pm3PI3
_chemical_formula_sum 'Pm6 P2 I6'
_cell_length_a 9.061
_cell_length_b 4.220
_cell_length_c 12.354
_cell_angle_alpha 90.00
_cell_angle_beta 90.45
_cell_angle_gamma 90.00
_space_group_name_H-M_alt 'P 1 21/m 1'
_space_group_IT_number 11
loop_
_space_group_symop_operation_xyz
'x,y,z'
'-x,-y,-z'
'-x,y+1/2,-z'
'x,-y+1/2,z'
loop_
_atom_site_label
_atom_site_fract_x
_atom_site_fract_y
_atom_site_fract_z
_atom_site_occupancy
Pm1 0.088 0.250 0.389 1
Pm2 0.121 0.250 0.839 1
Pm3 0.320 0.750 0.624 1
P1 0.118 0.250 0.616 1
I1 0.138 0.250 0.121 1
I2 0.376 0.750 0.877 1
I3 0.383 0.750 0.367 1


# 13
# PBE-GGA Tc2AgRu, optimized geometry
# Total moment, μB/atom: 0.000
# Density of states at the Fermi level, states/eV/atom: 0.86
# Offset from the most stable computed form, kJ/mol of formula units: 57
# Formation energy, eV/atom: 0.382
data_Tc2AgRu
_chemical_formula_sum 'Tc4 Ag2 Ru2'
_cell_length_a 9.254
_cell_length_b 2.748
_cell_length_c 4.849
_cell_angle_alpha 90.00
_cell_angle_beta 100.43
_cell_angle_gamma 90.00
_space_group_name_H-M_alt 'C 1 m 1'
_space_group_IT_number 8
loop_
_space_group_symop_operation_xyz
'x,y,z'
'x,-y,z'
'x+1/2,y+1/2,z'
'x+1/2,-y+1/2,z'
loop_
_atom_site_label
_atom_site_fract_x
_atom_site_fract_y
_atom_site_fract_z
_atom_site_occupancy
Tc1 0.000 0.000 0.000 1
Tc2 0.243 0.500 0.226 1
Ag1 0.004 0.500 0.503 1
Ru1 0.266 0.000 0.776 1


# 14
# PBE-GGA Li2BeAs2Pd, optimized geometry
# Total moment, μB/atom: 0.000
# Density of states at the Fermi level, states/eV/atom: 0.51
# Formation energy, eV/atom: -0.471
data_Li2BeAs2Pd
_chemical_formula_sum 'Li8 Be4 As8 Pd4'
_cell_length_a 5.247
_cell_length_b 12.921
_cell_length_c 5.513
_cell_angle_alpha 90.00
_cell_angle_beta 90.00
_cell_angle_gamma 90.00
_space_group_name_H-M_alt 'I b a m'
_space_group_IT_number 72
_space_group_name_Hall '-I 2 2c'
loop_
_atom_site_label
_atom_site_fract_x
_atom_site_fract_y
_atom_site_fract_z
_atom_site_occupancy
Li1 0.210 0.171 0.000 1
Be1 0.000 0.500 0.250 1
As1 0.211 0.378 0.000 1
Pd1 0.000 0.000 0.250 1


# 15
# PBE-GGA USi2S8, optimized geometry
# Energy relative to the elements, uncorrected, eV/atom: -0.6438
# Total moment, μB/atom: 0.011
# Density of states at the Fermi level, states/eV/atom: 0.39
data_USi2S8
_chemical_formula_sum 'U2 Si4 S16'
_cell_length_a 9.573
_cell_length_b 12.384
_cell_length_c 6.207
_cell_angle_alpha 90.00
_cell_angle_beta 107.94
_cell_angle_gamma 90.00
_space_group_name_H-M_alt 'C 1 2/m 1'
_space_group_IT_number 12
loop_
_space_group_symop_operation_xyz
'x,y,z'
'-x,-y,-z'
'-x,y,-z'
'x,-y,z'
'x+1/2,y+1/2,z'
'-x+1/2,-y+1/2,-z'
'-x+1/2,y+1/2,-z'
'x+1/2,-y+1/2,z'
loop_
_atom_site_label
_atom_site_fract_x
_atom_site_fract_y
_atom_site_fract_z
_atom_site_occupancy
U1 0.000 0.000 0.000 1
Si1 0.232 0.000 0.715 1
S1 0.031 0.500 0.177 1
S2 0.136 0.137 0.823 1
S3 0.222 0.000 0.369 1


# 16
# PBE-GGA Ba2TeN2, optimized geometry
# Energy relative to the elements, uncorrected, eV/atom: -0.9392
# Total moment, μB/atom: 0.219
# Density of states at the Fermi level, states/eV/atom: 0.44
data_Ba2TeN2
_chemical_formula_sum 'Ba8 Te4 N8'
_cell_length_a 15.760
_cell_length_b 4.793
_cell_length_c 7.983
_cell_angle_alpha 90.00
_cell_angle_beta 101.98
_cell_angle_gamma 90.00
_space_group_name_H-M_alt 'C 1 2/c 1'
_space_group_IT_number 15
loop_
_space_group_symop_operation_xyz
'x,y,z'
'-x,-y,-z'
'-x,y,-z+1/2'
'x,-y,z+1/2'
'x+1/2,y+1/2,z'
'-x+1/2,-y+1/2,-z'
'-x+1/2,y+1/2,-z+1/2'
'x+1/2,-y+1/2,z+1/2'
loop_
_atom_site_label
_atom_site_fract_x
_atom_site_fract_y
_atom_site_fract_z
_atom_site_occupancy
Ba1 0.138 0.241 0.145 1
Te1 0.000 0.260 0.750 1
N1 0.231 0.347 0.527 1


# 17
# PBE-GGA CeSc3Bi3, optimized geometry
# Total moment, μB/atom: 0.206
# Density of states at the Fermi level, states/eV/atom: 1.76
# Formation energy, eV/atom: -0.480
data_CeSc3Bi3
_chemical_formula_sum 'Ce6 Sc18 Bi18'
_cell_length_a 8.9419
_cell_length_b 8.9419
_cell_length_c 18.1219
_cell_angle_alpha 90.00
_cell_angle_beta 90.00
_cell_angle_gamma 120.00
_space_group_name_H-M_alt 'R -3'
_space_group_IT_number 148
_space_group_name_Hall '-R 3'
loop_
_atom_site_label
_atom_site_fract_x
_atom_site_fract_y
_atom_site_fract_z
_atom_site_occupancy
Ce1 0.0000 0.0000 0.1657 1
Sc1 0.0011 0.2636 0.4233 1
Bi1 0.0012 0.6241 0.4108 1


# 18
# PBE-GGA TbNd6Th2, optimized geometry
# Total moment, μB/atom: 0.000
# Density of states at the Fermi level, states/eV/atom: 1.82
# Formation energy, eV/atom: 0.072
data_TbNd6Th2
_chemical_formula_sum 'Tb1 Nd6 Th2'
_cell_length_a 3.6248
_cell_length_b 3.6248
_cell_length_c 27.2245
_cell_angle_alpha 90.00
_cell_angle_beta 90.00
_cell_angle_gamma 120.00
_space_group_name_H-M_alt 'P -6 m 2'
_space_group_IT_number 187
_space_group_name_Hall 'P -6 2'
loop_
_atom_site_label
_atom_site_fract_x
_atom_site_fract_y
_atom_site_fract_z
_atom_site_occupancy
Tb1 0.0000 0.0000 0.0000 1
Nd1 0.0000 0.0000 0.2210 1
Nd2 0.0000 0.0000 0.4367 1
Nd3 0.3333 0.6667 0.1075 1
Th1 0.3333 0.6667 0.3298 1


# 19
# PBE-GGA Pr3Nd6HoEr2, optimized geometry
# Total moment, μB/atom: 0.000
# Density of states at the Fermi level, states/eV/atom: 1.37
# Formation energy, eV/atom: 0.018
data_Pr3Nd6HoEr2
_chemical_formula_sum 'Pr6 Nd12 Ho2 Er4'
_cell_length_a 6.330
_cell_length_b 10.970
_cell_length_c 12.043
_cell_angle_alpha 90.00
_cell_angle_beta 100.10
_cell_angle_gamma 90.00
_space_group_name_H-M_alt 'C 1 2/m 1'
_space_group_IT_number 12
loop_
_space_group_symop_operation_xyz
'x,y,z'
'-x,-y,-z'
'-x,y,-z'
'x,-y,z'
'x+1/2,y+1/2,z'
'-x+1/2,-y+1/2,-z'
'-x+1/2,y+1/2,-z'
'x+1/2,-y+1/2,z'
loop_
_atom_site_label
_atom_site_fract_x
_atom_site_fract_y
_atom_site_fract_z
_atom_site_occupancy
Pr1 0.000 0.000 0.000 1
Pr2 0.000 0.333 0.000 1
Nd1 0.249 0.000 0.744 1
Nd2 0.249 0.333 0.744 1
Ho1 0.000 0.500 0.500 1
Er1 0.000 0.167 0.500 1


# 20
# PBE-GGA Rb2LiMg, optimized geometry
# Total moment, μB/atom: 0.000
# Density of states at the Fermi level, states/eV/atom: 0.75
# Formation energy, eV/atom: 0.333
data_Rb2LiMg
_chemical_formula_sum 'Rb8 Li4 Mg4'
_cell_length_a 10.462
_cell_length_b 10.462
_cell_length_c 7.381
_cell_angle_alpha 90.00
_cell_angle_beta 90.00
_cell_angle_gamma 90.00
_space_group_name_H-M_alt 'I -4 2 d'
_space_group_IT_number 122
_space_group_name_Hall 'I -4 2bw'
loop_
_atom_site_label
_atom_site_fract_x
_atom_site_fract_y
_atom_site_fract_z
_atom_site_occupancy
Rb1 0.237 0.750 0.125 1
Li1 0.000 0.000 0.000 1
Mg1 0.000 0.000 0.500 1


Respective electronic total energy values: -5.16, -5.72, -4.46, -9.57, -8.72, -2.98, -5.00, -7.03, -6.19, -4.62, -3.51, -4.85, -7.83, -4.15, -5.66, -5.67, -5.70, -5.27, -4.70, -1.03 eV per atom.
Respective mass density values: 7.0, 7.1, 8.4, 7.1, 13.5, 7.1, 9.0, 11.4, 9.7, 6.7, 5.1, 6.0, 11.1, 5.0, 2.6, 4.8, 7.2, 8.0, 7.2, 1.7 g/cm3.